No. 1
Cr3GeAu: relaxed, GGA-PBEsol.

Cell lengths 4.586, 4.586, 4.586 Å; angles 90.00, 90.00, 90.00 degrees
Atoms (fractional coordinates):
Cr: 0.000 0.000 0.500
Cr: 0.000 0.500 0.000
Cr: 0.500 0.000 0.000
Ge: 0.000 0.000 0.000
Au: 0.500 0.500 0.500

Output
spin magnetization	11.1	μB/cell
ΔH_f (0 K)	1.17	eV per atom
raw total energy	-33.76	eV per formula unit

=====

No. 2
Cr2CoP: relaxed, GGA-PBEsol.

Cell lengths 3.359, 3.359, 7.453 Å; angles 90.00, 90.00, 90.00 degrees
Atoms (fractional coordinates):
Cr: 0.000 0.500 0.250
Cr: 0.000 0.500 0.750
Cr: 0.500 0.000 0.250
Cr: 0.500 0.000 0.750
Co: 0.000 0.000 0.000
Co: 0.500 0.500 0.500
P: 0.000 0.000 0.500
P: 0.500 0.500 0.000

Output
spin magnetization	0.6	μB/cell
ΔH_f (0 K)	-0.27	eV per atom
raw total energy	-35.09	eV per formula unit

=====

No. 3
Ta4AuBr: relaxed, GGA-PBEsol.

Cell lengths 5.446, 5.446, 5.446 Å; angles 60.00, 60.00, 60.00 degrees
Atoms (fractional coordinates):
Ta: 0.124 0.124 0.124
Ta: 0.124 0.124 0.628
Ta: 0.124 0.628 0.124
Ta: 0.628 0.124 0.124
Au: 0.750 0.750 0.750
Br: 0.500 0.500 0.500

Output
uncorrected formation energy	4.54	eV/f.u.
spin magnetization	0.0	μB/cell
raw total energy	-51.45	eV per formula unit

=====

No. 4
MgBiMoO5: relaxed, GGA-PBEsol.

Cell lengths 5.349, 11.850, 8.155 Å; angles 90.00, 114.70, 90.00 degrees
Atoms (fractional coordinates):
Mg: 0.065 0.079 0.171
Mg: 0.065 0.421 0.671
Mg: 0.935 0.579 0.329
Mg: 0.935 0.921 0.829
Bi: 0.430 0.104 0.836
Bi: 0.430 0.396 0.336
Bi: 0.570 0.604 0.664
Bi: 0.570 0.896 0.164
Mo: 0.285 0.640 0.022
Mo: 0.285 0.860 0.522
Mo: 0.715 0.140 0.478
Mo: 0.715 0.360 0.978
O: 0.148 0.575 0.162
O: 0.148 0.925 0.662
O: 0.189 0.709 0.478
O: 0.189 0.791 0.978
O: 0.259 0.026 0.012
O: 0.259 0.474 0.512
O: 0.273 0.565 0.827
O: 0.273 0.935 0.327
O: 0.363 0.186 0.342
O: 0.363 0.314 0.842
O: 0.637 0.686 0.158
O: 0.637 0.814 0.658
O: 0.727 0.065 0.673
O: 0.727 0.435 0.173
O: 0.741 0.526 0.488
O: 0.741 0.974 0.988
O: 0.811 0.209 0.022
O: 0.811 0.291 0.522
O: 0.852 0.075 0.338
O: 0.852 0.425 0.838

Output
uncorrected formation energy	-15.03	eV/f.u.
spin magnetization	2.8	μB/cell
raw total energy	-59.05	eV per formula unit

=====

No. 5
Ca3Zn: relaxed, GGA-PBEsol.

Cell lengths 3.764, 5.726, 11.887 Å; angles 90.00, 90.00, 90.00 degrees
Atoms (fractional coordinates):
Ca: 0.000 0.000 0.000
Ca: 0.000 0.500 0.199
Ca: 0.000 0.500 0.801
Ca: 0.500 0.000 0.301
Ca: 0.500 0.000 0.699
Ca: 0.500 0.500 0.500
Zn: 0.000 0.000 0.500
Zn: 0.500 0.500 0.000

Output
spin magnetization	0.0	μB/cell
ΔH_f (0 K)	-0.05	eV per atom
raw total energy	-8.19	eV per formula unit

=====

No. 6
AlIn8: relaxed, GGA-PBEsol.

Cell lengths 7.129, 7.129, 7.129 Å; angles 96.78, 96.78, 139.80 degrees
Atoms (fractional coordinates):
Al: 0.000 0.000 0.000
In: 0.000 0.327 0.327
In: 0.000 0.673 0.673
In: 0.327 0.000 0.327
In: 0.336 0.336 0.673
In: 0.336 0.664 0.000
In: 0.664 0.336 0.000
In: 0.664 0.664 0.327
In: 0.673 0.000 0.673

Output
spin magnetization	0.0	μB/cell
ΔH_f (0 K)	0.05	eV per atom
raw total energy	-27.52	eV per formula unit